VASP calculation (PBE-GGA) on an optimized crystal structure of Mg3GaTc.

Properties
Crystal system: cubic
SG: Pm-3m
V in Å³/atom: 25.70
Final energy in eV for the cell shown: -14.34
Magnetic moment in μB per cell: 0.22
ΔE_f in eV/atom: 0.7671
Energy relative to the lowest polymorph listed for this composition in eV/f.u.: 0.00

a b c (Å): 5.0460 5.0460 5.0460
angles (deg): 90.00 90.00 90.00
Last column: nearest neighbours and their distance in Å.
Fractional coordinates of all 5 atoms:
Mg (0.0000, 0.5000, 0.0000)  2 Tc 2.52
Ga (0.5000, 0.5000, 0.5000)  12 Mg 3.57
Tc (0.0000, 0.0000, 0.0000)  6 Mg 2.52
Mg (0.0000, 0.0000, 0.5000)  2 Tc 2.52
Mg (0.5000, 0.0000, 0.0000)  2 Tc 2.52